Entry 1:
AcEr2Cd6: relaxed, GGA-PBE.

Cell: 8.7529 8.7529 3.5205 Å, 90.00 90.00 120.00°
With the nearest neighbours (Å) after each atom.
Space group P6/mmm (No. 191)
Inequivalent atoms, fractional coordinates:
Ac1 0.0000 0.0000 0.0000 x1  12 Cd 3.46, 2 Ac 3.52
Er1 0.3333 0.6667 0.0000 x2  12 Cd 3.38, 2 Er 3.52
Cd1 0.0000 0.3405 0.5000 x6  3 Cd 2.79-2.98

Computed properties:
energy	-21.24	eV per cell
ΔE_f	-279.7	meV per atom

Entry 2:
AcErCd17: relaxed, GGA-PBE.

Cell: 10.1508 10.1508 15.0616 Å, 90.00 90.00 120.00°
With the nearest neighbours (Å) after each atom.
Space group R3m (No. 160, hexagonal axes)
Inequivalent atoms, fractional coordinates:
Ac1 0.0000 0.0000 0.0000 x3  16 Cd 3.61-3.75
Er1 0.0000 0.0000 0.3400 x3  13 Cd 3.29-3.54
Cd1 0.0000 0.0000 0.5587 x3  7 Cd 2.98-3.28, 1 Er 3.29
Cd2 0.0000 0.0000 0.7567 x3  4 Cd 2.95-2.98
Cd3 0.0371 0.3661 0.3327 x18  7 Cd 2.93-3.24
Cd4 0.1755 0.3510 0.1419 x9  9 Cd 2.90-3.24
Cd5 0.1806 0.3613 0.5049 x9  10 Cd 2.93-3.28
Cd6 0.1929 0.3857 0.8514 x9  6 Cd 2.90-3.11

Computed properties:
energy	-80.43	eV per cell
ΔE_f	-135.9	meV per atom

Entry 3:
Ac4ErCd: relaxed, GGA-PBE.

Cell: 3.9607 3.9607 14.8307 Å, 90.00 90.00 90.00°
With the nearest neighbours (Å) after each atom.
Space group P4/mmm (No. 123)
Inequivalent atoms, fractional coordinates:
Ac1 0.0000 0.0000 0.1445 x2  4 Cd 3.53
Ac2 0.5000 0.5000 0.3341 x2  4 Er 3.73, 8 Ac 3.96-3.97
Er1 0.0000 0.0000 0.5000 x1  8 Ac 3.73, 4 Er 3.96
Cd1 0.5000 0.5000 0.0000 x1  8 Ac 3.53

Computed properties:
energy	-22.31	eV per cell
ΔE_f	-66.2	meV per atom

Entry 4:
AcErCd4: relaxed, GGA-PBE.

Cell: 8.5738 8.5738 8.5738 Å, 90.00 90.00 90.00°
With the nearest neighbours (Å) after each atom.
Space group F-43m (No. 216)
Inequivalent atoms, fractional coordinates:
Ac1 0.0000 0.0000 0.0000 x4  12 Cd 3.56, 4 Er 3.71
Er1 0.2500 0.2500 0.2500 x4  12 Cd 3.55, 4 Ac 3.71
Cd1 0.1243 0.1243 0.6243 x16  6 Cd 3.01-3.05

Computed properties:
energy	-55.37	eV per cell
ΔE_f	-251.6	meV per atom